A plane-wave DFT calculation with GGA-PBEsol was carried out for a relaxed structure of NaSrTe2P.

Output
The calculation puts the uncorrected formation energy at 0.175 eV per atom. As for the total energy: -3.042 eV per atom. As for the total moment: 0.004 Bohr magnetons per cell.

Unit cell a=6.0511 b=6.0511 c=5.4947 alpha=90.00 beta=90.00 gamma=90.00
With the nearest neighbours (Å) after each atom.
Space group P4/mmm (No. 123)
One atom of each set of equivalent atoms:
Na (0.0000, 0.0000, 0.0000) [1 per cell]  8 Te 4.09, 4 P 4.28
Sr (0.5000, 0.5000, 0.5000) [1 per cell]  2 P 2.75, 4 Te 3.03
Te (0.0000, 0.5000, 0.5000) [2 per cell]  2 Sr 3.03
P (0.5000, 0.5000, 0.0000) [1 per cell]  2 Sr 2.75